No. 1
Material: Ti2AlH
Method: DFT, PBE
State: relaxed

Unit cell a=6.105 b=6.105 c=6.105 alpha=90.00 beta=90.00 gamma=90.00
Space group Fm-3m (No. 225)
One atom of each set of equivalent atoms:
Ti 0.250 0.250 0.250 x8
Al 0.000 0.000 0.000 x4
H 0.000 0.000 0.500 x4

Results
E_tot = -0.200 Ha/atom

No. 2
Material: Cd2HgAs
Method: DFT, PBE
State: relaxed

Unit cell a=7.156 b=7.156 c=7.156 alpha=90.00 beta=90.00 gamma=90.00
Space group F-43m (No. 216)
One atom of each set of equivalent atoms:
Cd 0.000 0.000 0.000 x4
Cd 0.250 0.250 0.250 x4
Hg 0.000 0.000 0.500 x4
As 0.250 0.250 0.750 x4

Results
E_form = 0.21 eV/atom

No. 3
Material: BaLi2Hg
Method: DFT, PBE
State: relaxed

Unit cell a=7.900 b=7.900 c=7.900 alpha=90.00 beta=90.00 gamma=90.00
Space group F-43m (No. 216)
One atom of each set of equivalent atoms:
Ba 0.000 0.000 0.000 x4
Li 0.000 0.000 0.500 x4
Li 0.250 0.250 0.750 x4
Hg 0.250 0.250 0.250 x4

Results
E_form = -0.15 eV/atom

No. 4
Material: K2LiHg7
Method: DFT, PBE
State: relaxed

Unit cell a=4.860 b=4.860 c=12.965 alpha=90.00 beta=90.00 gamma=90.00
Space group P-4m2 (No. 115)
One atom of each set of equivalent atoms:
K 0.000 0.500 0.244 x2
Li 0.000 0.000 0.500 x1
Hg 0.000 0.000 0.000 x1
Hg 0.000 0.500 0.630 x2
Hg 0.000 0.500 0.856 x2
Hg 0.500 0.500 0.000 x1
Hg 0.500 0.500 0.500 x1

Results
E_form = -0.20 eV/atom

No. 5
Material: Zr2CdF11
Method: DFT, PBE
State: relaxed

Unit cell a=7.944 b=10.158 c=10.774 alpha=90.00 beta=90.00 gamma=90.00
Space group Ibam (No. 72)
One atom of each set of equivalent atoms:
Zr 0.138 0.181 0.000 x8
Cd 0.000 0.500 0.250 x4
F 0.000 0.000 0.000 x4
F 0.106 0.319 0.138 x16
F 0.125 0.218 0.500 x8
F 0.236 0.422 0.366 x16

Results
ΔE_f (raw) = -3.04 eV per atom

No. 6
Material: Pm3PrTh
Method: DFT, PBE
State: relaxed

Unit cell a=8.951 b=7.272 c=12.105 alpha=90.00 beta=119.29 gamma=90.00
Space group P2_1/c (No. 14)
One atom of each set of equivalent atoms:
Pm 0.001 0.127 0.253 x4
Pm 0.210 0.624 0.053 x4
Pm 0.403 0.126 0.851 x4
Pr 0.206 0.126 0.054 x4
Th 0.399 0.621 0.854 x4

Results
E_form = 0.05 eV/atom

No. 7
Material: Mg4AlIr
Method: DFT, PBE
State: relaxed

Unit cell a=7.585 b=7.585 c=7.585 alpha=90.00 beta=90.00 gamma=90.00
Space group F-43m (No. 216)
One atom of each set of equivalent atoms:
Mg 0.125 0.125 0.125 x16
Al 0.250 0.250 0.750 x4
Ir 0.000 0.000 0.500 x4

Results
E_form = 0.22 eV/atom

No. 8
Material: Rb4Np3TlSe8
Method: DFT, PBE
State: relaxed

Unit cell a=8.7970 b=8.7970 c=23.5936 alpha=90.00 beta=90.00 gamma=120.00
Space group R-3m (No. 166, hexagonal axes)
One atom of each set of equivalent atoms:
Rb 0.0000 0.0000 0.0000 x3
Rb 0.0000 0.5000 0.0000 x9
Np 0.0000 0.5000 0.5000 x9
Tl 0.0000 0.0000 0.5000 x3
Se 0.0000 0.0000 0.2316 x6
Se 0.0300 0.5150 0.7691 x18

Results
ΔE_f (raw) = -1.13 eV per atom

No. 9
Material: SbAs2BrF
Method: DFT, PBE
State: relaxed

Unit cell a=5.432 b=5.432 c=5.459 alpha=90.00 beta=90.00 gamma=90.00
Space group P4/mmm (No. 123)
One atom of each set of equivalent atoms:
Sb 0.000 0.000 0.000 x1
As 0.000 0.500 0.000 x2
Br 0.000 0.000 0.500 x1
F 0.500 0.500 0.500 x1

Results
ΔE_f (raw) = 0.51 eV per atom

No. 10
Material: BaPuCu2
Method: DFT, PBE
State: relaxed

Unit cell a=3.722 b=3.722 c=7.407 alpha=90.00 beta=90.00 gamma=90.00
Space group P4/mmm (No. 123)
One atom of each set of equivalent atoms:
Ba 0.000 0.000 0.000 x1
Pu 0.000 0.000 0.500 x1
Cu 0.500 0.500 0.315 x2

Results
E_form = 0.12 eV/atom

No. 11
Material: VGa2Fe5
Method: DFT, PBE
State: relaxed

Unit cell a=4.085 b=4.085 c=11.294 alpha=90.00 beta=90.00 gamma=90.00
Space group I4/mmm (No. 139)
One atom of each set of equivalent atoms:
V 0.000 0.000 0.000 x2
Ga 0.000 0.000 0.251 x4
Fe 0.000 0.000 0.500 x2
Fe 0.000 0.500 0.121 x8

Results
E_form = -0.11 eV/atom

No. 12
Material: Tb4Co2Ag5
Method: DFT, PBE
State: relaxed

Unit cell a=7.364 b=3.707 c=8.679 alpha=90.00 beta=95.36 gamma=90.00
Space group P2/m (No. 10)
One atom of each set of equivalent atoms:
Tb 0.189 0.000 0.344 x2
Tb 0.227 0.000 0.926 x2
Co 0.062 0.500 0.127 x2
Ag 0.161 0.500 0.636 x2
Ag 0.450 0.500 0.168 x2
Ag 0.500 0.500 0.500 x1

Results
E_form = -0.24 eV/atom

No. 13
Material: YMg2Br
Method: DFT, PBE
State: relaxed

Unit cell a=3.5910 b=3.5910 c=29.0169 alpha=90.00 beta=90.00 gamma=120.00
Space group R-3m (No. 166, hexagonal axes)
One atom of each set of equivalent atoms:
Y 0.0000 0.0000 0.0000 x3
Mg 0.0000 0.0000 0.2416 x6
Br 0.0000 0.0000 0.5000 x3

Results
ΔE_f (raw) = -0.36 eV per atom

No. 14
Material: TmInCl6
Method: DFT, PBE
State: relaxed

Unit cell a=6.423 b=12.593 c=6.421 alpha=90.00 beta=107.29 gamma=90.00
Space group C2/m (No. 12)
One atom of each set of equivalent atoms:
Tm 0.000 0.000 0.000 x2
In 0.000 0.500 0.500 x2
Cl 0.241 0.360 0.742 x8
Cl 0.250 0.000 0.750 x4

Results
ΔE_f (raw) = -1.63 eV per atom

Computed values of D(E_F) (unit: states/eV/cell) for the preceding records, in sequence: 14.01; 16.91; 13.47; 2.82; 51.74; 30.80; 5.19; 86.27; 5.78; 10.65; 17.53; 5.67; 12.86; 0.00.
Computed values of magnetization (unit: μB/atom) for the preceding records, in sequence: 0.0000; 0.0000; 0.0000; 0.0000; 0.0839; 0.0000; 0.0000; 0.6246; 0.4848; 1.4591; 0.7080; 0.0000; 0.0061; 0.0000.